Compound: Al2SbMo
Source: the Alexandria database
Functional: PBE
Structure: optimized geometry

Structure (POSCAR):
```
Al2SbMo
1.0
3.5181 0.0000 0.0000
0.0000 3.5181 0.0000
0.0000 0.0000 5.6903
Mo Al Sb
1 2 1
direct
0.0000 0.0000 0.4822 Mo
0.0000 0.0000 0.0165 Al
0.5000 0.5000 0.2567 Al
0.5000 0.5000 0.7446 Sb
```

Results
* formation energy from raw total energies: 54 meV/atom
* symmetry: P4mm
* M_tot: 0.00 μB/cell